(1)
Compound: SrSi2Br
Source: Alexandria via LeMat-Bulk
Functional: PBE-GGA
Structure: optimized geometry

Output
Total moment = 0.0 Bohr magnetons per cell
Relative energy among the computed polymorphs = 260 meV per atom
DOS(E_F) = 1.91 states/eV per cell

Cell lengths 3.5861, 3.5861, 8.4502 Å; angles 90.00, 90.00, 90.00 degrees
With the nearest neighbours (Å) after each atom.
Space group P4mm (No. 99)
Symmetry-distinct sites (fractional):
Sr 0.0000 0.0000 0.0000 [1 per cell]  4 Br 3.05, 1 Si 3.09
Si 0.0000 0.0000 0.6341 [1 per cell]  4 Si 2.60
Si 0.5000 0.5000 0.7021 [1 per cell]  4 Si 2.60
Br 0.5000 0.5000 0.2009 [1 per cell]  4 Sr 3.05


(2)
Compound: KSrHfP2
Source: Alexandria via LeMat-Bulk
Functional: PBE-GGA
Structure: optimized geometry

Output
Total moment = 0.0 Bohr magnetons per cell
ΔE_f = 7.45 kJ/mol of atoms
DOS(E_F) = 4.14 states/eV per cell

Cell lengths 5.1524, 5.1524, 5.8118 Å; angles 90.00, 90.00, 90.00 degrees
With the nearest neighbours (Å) after each atom.
Space group P4/mmm (No. 123)
Symmetry-distinct sites (fractional):
K 0.0000 0.0000 0.0000 [1 per cell]  4 Sr 3.64, 8 P 3.88
Sr 0.5000 0.5000 0.0000 [1 per cell]  2 Hf 2.91
Hf 0.5000 0.5000 0.5000 [1 per cell]  4 P 2.58
P 0.0000 0.5000 0.5000 [2 per cell]  2 Hf 2.58


(3)
Compound: HfSc2ZnC
Source: Alexandria via LeMat-Bulk
Functional: PBE-GGA
Structure: optimized geometry

Output
Total moment = 0.0 Bohr magnetons per cell
ΔE_f = -41.50 kJ/mol of atoms
DOS(E_F) = 4.49 states/eV per cell

Cell lengths 4.4691, 4.4691, 4.4992 Å; angles 90.00, 90.00, 90.00 degrees
With the nearest neighbours (Å) after each atom.
Space group P4/mmm (No. 123)
Symmetry-distinct sites (fractional):
Hf 0.0000 0.0000 0.0000 [1 per cell]  2 C 2.25
Sc 0.0000 0.5000 0.5000 [2 per cell]  2 C 2.23
Zn 0.5000 0.5000 0.0000 [1 per cell]  4 Hf 3.16, 8 Sc 3.17
C 0.0000 0.0000 0.5000 [1 per cell]  4 Sc 2.23, 2 Hf 2.25


(4)
Compound: Ac2ZnSb
Source: Alexandria via LeMat-Bulk
Functional: PBE-GGA
Structure: optimized geometry

Output
Total moment = 2.7 Bohr magnetons per cell
Relative energy among the computed polymorphs = 462 meV per atom
DOS(E_F) = 13.46 states/eV per cell

Cell lengths 4.4038, 4.4038, 32.3052 Å; angles 90.00, 90.00, 120.00 degrees
With the nearest neighbours (Å) after each atom.
Space group R-3m (No. 166, hexagonal axes)
Symmetry-distinct sites (fractional):
Ac 0.0000 0.0000 0.1031 [6 per cell]  3 Sb 3.27, 1 Zn 3.33
Zn 0.0000 0.0000 0.0000 [3 per cell]  2 Ac 3.33
Sb 0.0000 0.0000 0.5000 [3 per cell]  6 Ac 3.27


(5)
Compound: LaZnCl
Source: Alexandria via LeMat-Bulk
Functional: PBE-GGA
Structure: optimized geometry

Output
Total moment = 0.0 Bohr magnetons per cell
Relative energy among the computed polymorphs = 433 meV per atom
DOS(E_F) = 7.37 states/eV per cell

Cell lengths 3.6640, 3.6640, 13.9234 Å; angles 90.00, 90.00, 90.00 degrees
With the nearest neighbours (Å) after each atom.
Space group I4mm (No. 107)
Symmetry-distinct sites (fractional):
La 0.0000 0.0000 0.0000 [2 per cell]  4 Cl 3.03, 4 Zn 3.23
Zn 0.0000 0.0000 0.3617 [2 per cell]  4 La 3.23, 1 Cl 3.50
Cl 0.0000 0.0000 0.6134 [2 per cell]  4 La 3.03


(6)
Compound: NaMg14Fe
Source: Alexandria via LeMat-Bulk
Functional: PBE-GGA
Structure: optimized geometry

Output
Total moment = 5.5 Bohr magnetons per cell
Relative energy among the computed polymorphs = 12 meV per atom
ΔE_f = 10.04 kJ/mol of atoms
DOS(E_F) = 14.87 states/eV per cell

Cell lengths 10.2401, 6.3646, 10.8855 Å; angles 90.00, 90.00, 90.00 degrees
With the nearest neighbours (Å) after each atom.
Space group Amm2 (No. 38)
Symmetry-distinct sites (fractional):
Na 0.0000 0.0000 0.0000 [2 per cell]  10 Mg 3.09-3.18, 2 Fe 3.18
Mg 0.0000 0.2455 0.7509 [4 per cell]  8 Mg 3.06-3.24, 2 Fe 3.09-3.22, 2 Na 3.13-3.17
Mg 0.2354 0.0000 0.3387 [4 per cell]  1 Fe 3.02, 11 Mg 3.06-3.28
Mg 0.2403 0.2411 0.5818 [8 per cell]  1 Fe 3.01, 10 Mg 3.06-3.30, 1 Na 3.09
Mg 0.2546 0.0000 0.8327 [4 per cell]  11 Mg 3.12-3.19, 1 Na 3.18
Mg 0.5000 0.0000 0.0033 [2 per cell]  12 Mg 3.12-3.24
Mg 0.5000 0.0000 0.5015 [2 per cell]  12 Mg 3.15-3.24
Mg 0.5000 0.2471 0.2507 [4 per cell]  12 Mg 3.12-3.28
Fe 0.0000 0.0000 0.5062 [2 per cell]  10 Mg 3.01-3.22, 2 Na 3.18